# Nd2Sm6TmMg

An optimized crystal structure of Nd2Sm6TmMg (PBE, Alexandria).

As for the calculated density: 6.96 g cm⁻³. The formation enthalpy at 0 K is 0.111 eV/atom. The calculation puts the total moment at 0.00 μB/f.u. The crystal system is monoclinic.

The space group is C2/c (No. 15) and the conventional cell measures 9.221, 14.905 and 9.728 Å, with angles of 90.00, 99.17 and 90.00 degrees. The distinct sites, in fractional coordinates, are Nd at (0.249, 0.047, 0.049), Sm at (0.061, 0.185, 0.448), Sm at (0.103, 0.398, 0.615), Sm at (0.211, 0.216, 0.807), Tm at (0.000, 0.016, 0.750) and Mg at (0.000, 0.406, 0.250).

---

# Ce6AlTl

An optimized crystal structure of Ce6AlTl (PBE, Alexandria).

As for the calculated density: 8.31 g cm⁻³. The formation enthalpy at 0 K is -0.138 eV/atom. The calculation puts the total moment at 5.24 μB/f.u. The crystal system is tetragonal.

The space group is P4/mmm (No. 123) and the conventional cell measures 4.746, 4.746 and 9.513 Å, with angles of 90.00, 90.00 and 90.00 degrees. The distinct sites, in fractional coordinates, are Ce at (0.000, 0.000, 0.000), Ce at (0.000, 0.000, 0.500), Ce at (0.000, 0.500, 0.240), Al at (0.500, 0.500, 0.000) and Tl at (0.500, 0.500, 0.500).

---

# NdLu2Zr

An optimized crystal structure of NdLu2Zr (PBE, Alexandria).

As for the calculated density: 8.35 g cm⁻³. The formation enthalpy at 0 K is 0.147 eV/atom. The calculation puts the relative energy among the computed polymorphs at 28.5 kJ/mol of formula units. The calculation puts the total moment at 0.02 μB/f.u. The crystal system is tetragonal.

The space group is P4/mmm (No. 123) and the conventional cell measures 3.948, 3.948 and 7.470 Å, with angles of 90.00, 90.00 and 90.00 degrees. The distinct sites, in fractional coordinates, are Nd at (0.000, 0.000, 0.000), Lu at (0.500, 0.500, 0.282) and Zr at (0.000, 0.000, 0.500).

---

# Sm7Sb4Te4

An optimized crystal structure of Sm7Sb4Te4 (PBE, Alexandria).

The formation energy from raw total energies is -1135 meV/atom. As for the calculated density: 6.94 g cm⁻³. The calculation puts the total moment at 0.74 μB/f.u. The crystal system is tetragonal.

The space group is I4/mmm (No. 139) and the conventional cell measures 15.517, 15.517 and 8.153 Å, with angles of 90.00, 90.00 and 90.00 degrees. The distinct sites, in fractional coordinates, are Sm at (0.000, 0.000, 0.241), Sm at (0.000, 0.281, 0.000), Sm at (0.000, 0.362, 0.500), Sm at (0.207, 0.207, 0.500), Sb at (0.148, 0.352, 0.250), Te at (0.000, 0.164, 0.500) and Te at (0.122, 0.122, 0.000).